(1)
Here is a relaxed SmErThSc3 crystal from Alexandria via LeMat-Bulk. Energies are from PBE-GGA.

```
SmErThSc3
1.0
-2.7895 1.3620 -1.4863
-0.9057 -8.2878 -5.8947
-5.2819 -1.5513 8.4913
Sm Er Th Sc
2 2 2 6
Direct
0.2500 0.1315 0.2864
0.7500 0.8685 0.7136
0.2500 0.1295 0.6239
0.7500 0.8705 0.3761
0.2500 0.6285 0.1254
0.7500 0.3715 0.8746
0.7500 0.8701 0.0368
0.2500 0.1299 0.9632
0.2500 0.6179 0.4573
0.7500 0.3821 0.5427
0.7500 0.3850 0.2089
0.2500 0.6150 0.7911
```

The volume comes out at 28.14 Å³ per atom. The calculation puts the density of states at the Fermi level at 1.38 states/eV/atom. The value obtained for the size of the total moment is 0.00 μB per formula unit. Its space group is No. 11. The calculation puts the energy at -5.899 eV/atom.

***

(2)
Here is a relaxed KPt crystal from Alexandria via LeMat-Bulk. Energies are from PBE-GGA.

```
KPt
1.0
5.8468 0.0000 0.0000
0.0000 15.7081 0.0000
0.0000 0.0000 8.8266
K Pt
16 16
Direct
0.0000 0.0000 0.6636
0.0000 0.0000 0.3364
0.2500 0.7500 0.5864
0.2500 0.7500 0.9136
0.0000 0.5000 0.1636
0.0000 0.5000 0.8364
0.2500 0.2500 0.0864
0.2500 0.2500 0.4136
0.5000 0.0000 0.1636
0.5000 0.0000 0.8364
0.7500 0.7500 0.0864
0.7500 0.7500 0.4136
0.5000 0.5000 0.6636
0.5000 0.5000 0.3364
0.7500 0.2500 0.5864
0.7500 0.2500 0.9136
0.0000 0.0836 0.0000
0.0000 0.9164 0.0000
0.2500 0.6664 0.2500
0.2500 0.8336 0.2500
0.0000 0.5836 0.5000
0.0000 0.4164 0.5000
0.2500 0.1664 0.7500
0.2500 0.3336 0.7500
0.5000 0.0836 0.5000
0.5000 0.9164 0.5000
0.7500 0.6664 0.7500
0.7500 0.8336 0.7500
0.5000 0.5836 0.0000
0.5000 0.4164 0.0000
0.7500 0.1664 0.2500
0.7500 0.3336 0.2500
```

The volume comes out at 25.33 Å³ per atom. The calculation puts the density of states at the Fermi level at 0.75 states/eV/atom. The value obtained for the size of the total moment is 0.00 μB per formula unit. Its space group is No. 70. The calculation puts the energy at -3.432 eV/atom.

***

(3)
Here is a relaxed Na2WCl6 crystal from Alexandria via LeMat-Bulk. Energies are from PBE-GGA.

```
Na2WCl6
1.0
-3.9593 -4.8825 -0.7407
2.1535 -2.5614 5.3726
-8.4658 5.9220 6.2166
Na W Cl
4 2 12
Direct
0.0000 0.0000 0.3318
0.5000 0.5000 0.8318
0.5000 0.5000 0.1682
0.0000 0.0000 0.6682
0.0000 0.0000 0.0000
0.5000 0.5000 0.5000
0.3136 0.3136 0.3562
0.6864 0.6864 0.3562
0.1864 0.8136 0.8562
0.8136 0.1864 0.8562
0.1864 0.8136 0.1438
0.8136 0.1864 0.1438
0.3136 0.3136 0.6438
0.6864 0.6864 0.6438
0.2662 0.2662 0.0000
0.7338 0.7338 0.0000
0.2338 0.7662 0.5000
0.7662 0.2338 0.5000
```

The volume comes out at 26.84 Å³ per atom. The energy above the lowest structure with this stoichiometry is 0.018 eV/atom. The calculation puts the density of states at the Fermi level at 0.76 states/eV/atom. The value obtained for the size of the total moment is 2.00 μB per formula unit. Its space group is No. 136. The calculation puts the energy at -4.182 eV/atom. Its raw formation energy is -1.22 eV per atom.